No. 1
Below is crystalline Th2CoGe3 at its relaxed geometry, with properties calculated at the GGA-PBE level.

Summary:
crystal system	orthorhombic
E above lowest polymorph	14	kJ/mol of formula units
V	21.15	Å³/atom
ΔE_f	-0.67	eV per atom
total DFT energy (no corrections)	-39.8	eV/cell

```
Th2CoGe3
1.0
4.111 0.000 0.000
0.000 4.291 0.000
0.000 0.000 7.193
Th Co Ge
2 1 3
Direct
0.000 0.000 0.000
0.000 0.500 0.477
0.500 0.000 0.305
0.500 0.000 0.628
0.500 0.500 0.167
0.500 0.500 0.816
```

No. 2
Below is crystalline ThCo6Ge6 at its relaxed geometry, with properties calculated at the GGA-PBE level.

Summary:
crystal system	hexagonal
V	14.09	Å³/atom
ΔE_f	-0.28	eV per atom
total DFT energy (no corrections)	-81.4	eV/cell

```
ThCo6Ge6
1.0
5.158 0.000 0.000
-2.579 4.467 0.000
0.000 0.000 7.951
Th Co Ge
1 6 6
Direct
0.000 0.000 0.000
0.000 0.500 0.253
0.000 0.500 0.747
0.500 0.000 0.253
0.500 0.000 0.747
0.500 0.500 0.253
0.500 0.500 0.747
0.000 0.000 0.350
0.000 0.000 0.650
0.333 0.667 0.000
0.333 0.667 0.500
0.667 0.333 0.000
0.667 0.333 0.500
```

No. 3
Below is crystalline ThCo3Ge3 at its relaxed geometry, with properties calculated at the GGA-PBE level.

Summary:
crystal system	trigonal
E above lowest polymorph	0	kJ/mol of formula units
V	16.61	Å³/atom
ΔE_f	-0.15	eV per atom
total DFT energy (no corrections)	-87.3	eV/cell

```
ThCo3Ge3
1.0
3.214 1.856 6.498
-3.214 1.856 6.498
0.000 -3.711 6.498
Th Co Ge
2 6 6
Direct
0.159 0.159 0.159
0.841 0.841 0.841
0.187 0.402 0.655
0.345 0.813 0.598
0.402 0.655 0.187
0.598 0.345 0.813
0.655 0.187 0.402
0.813 0.598 0.345
0.041 0.233 0.596
0.233 0.596 0.041
0.404 0.959 0.767
0.596 0.041 0.233
0.767 0.404 0.959
0.959 0.767 0.404
```

No. 4
Below is crystalline ThCoGe at its relaxed geometry, with properties calculated at the GGA-PBE level.

Summary:
crystal system	tetragonal
V	18.67	Å³/atom
ΔE_f	-0.26	eV per atom
total DFT energy (no corrections)	-19.9	eV/cell

```
ThCoGe
1.0
-1.606 1.606 5.432
1.606 -1.606 5.432
1.606 1.606 -5.432
Th Co Ge
1 1 1
Direct
0.000 0.000 0.000
0.315 0.315 0.000
0.711 0.711 0.000
```

No. 5
Below is crystalline Th2Co4Ge5 at its relaxed geometry, with properties calculated at the GGA-PBE level.

Summary:
crystal system	orthorhombic
V	16.82	Å³/atom
ΔE_f	-0.40	eV per atom
total DFT energy (no corrections)	-70.7	eV/cell

```
Th2Co4Ge5
1.0
0.000 4.714 7.293
2.691 0.000 7.293
2.691 4.714 0.000
Th Co Ge
2 4 5
Direct
0.143 0.143 0.857
0.857 0.857 0.143
0.217 0.521 0.479
0.479 0.783 0.217
0.521 0.217 0.783
0.783 0.479 0.521
0.000 0.000 0.500
0.250 0.250 0.250
0.500 0.500 0.000
0.500 0.500 0.500
0.750 0.750 0.750
```